The following is a GGA+U calculation of a relaxed Ac2MnRhO6 crystal, from the Alexandria database.

## Properties
As for the space group: No. 59. Its total energy is -75.40 eV/f.u.

a = 5.7244 Å, b = 5.7492 Å, c = 7.9769 Å
α = 90.00°, β = 90.00°, γ = 90.00°
Site moments in Bohr magnetons follow the coordinates.
Fractional positions:
O  0.2512  0.9973  0.5000  0.01
O  0.2505  0.5046  0.0000  0.01
Mn  0.0000  0.7489  0.0000  4.01
Mn  0.5000  0.2511  0.5000  4.01
O  0.7505  0.4954  0.5000  0.01
Ac  0.5000  0.7581  0.7501  0.01
O  0.5000  0.2321  0.2540  -0.02
Rh  0.5000  0.2534  0.0000  0.38
O  0.2488  0.0027  0.0000  0.01
O  0.0000  0.7679  0.7540  -0.02
O  0.7495  0.5046  0.0000  0.01
O  0.7488  0.9973  0.5000  0.01
O  0.7512  0.0027  0.0000  0.01
O  0.2495  0.4954  0.5000  0.01
Ac  0.0000  0.2419  0.2501  0.01
Rh  0.0000  0.7466  0.5000  0.38
O  0.5000  0.2321  0.7460  -0.02
Ac  0.5000  0.7581  0.2499  0.01
O  0.0000  0.7679  0.2460  -0.02
Ac  0.0000  0.2419  0.7499  0.01